Computed, not measured: a relaxed MnCrIr2Au crystal at the PBE level of DFT.

```
MnCrIr2Au
1.0
4.929 0.000 0.000
0.000 4.929 0.000
0.000 0.000 4.724
Mn Cr Ir Au
1 1 2 1
Cartesian
0.000 0.000 0.000
2.465 2.465 0.000
0.000 2.465 2.362
2.465 0.000 2.362
2.465 2.465 2.362
```

Output
SG   P4/mmm, No. 123
Final energy   -30.32 eV per cell
DOS at the Fermi energy   7.375 states/eV per cell